# 1
Compound: CaZr3Co
Source: Alexandria via LeMat-Bulk
Functional: PBE
Structure: optimized geometry

Computed properties:
space-group type: No. 221
energy above the lowest structure with this stoichiometry: 1.844 eV per atom

Geometry as POSCAR:
```
CaZr3Co
1.0
4.929 0.000 0.000
0.000 4.929 0.000
0.000 0.000 4.929
Ca Co Zr
1 1 3
Direct
0.000 0.000 0.000 Ca
0.500 0.500 0.500 Co
0.000 0.500 0.000 Zr
0.000 0.000 0.500 Zr
0.500 0.000 0.000 Zr
```

---

# 2
Compound: CaZrCo4
Source: Alexandria via LeMat-Bulk
Functional: PBE
Structure: optimized geometry

Computed properties:
space-group type: No. 216

Geometry as POSCAR:
```
CaZrCo4
1.0
0.000 3.524 3.524
3.524 0.000 3.524
3.524 3.524 0.000
Ca Zr Co
1 1 4
Direct
0.000 0.000 0.000 Ca
0.750 0.750 0.750 Zr
0.873 0.376 0.376 Co
0.376 0.376 0.873 Co
0.376 0.873 0.376 Co
0.376 0.376 0.376 Co
```

---

# 3
Compound: Ca2ZrCo
Source: Alexandria via LeMat-Bulk
Functional: PBE
Structure: optimized geometry

Computed properties:
space-group type: No. 123
energy above the lowest structure with this stoichiometry: 0.456 eV per atom

Geometry as POSCAR:
```
Ca2ZrCo
1.0
-3.433 -2.125 -0.937
0.899 -2.761 2.967
-2.710 2.848 3.472
Ca Co Zr
2 1 1
Direct
0.000 0.000 0.000 Ca
0.500 0.500 0.000 Ca
0.500 0.000 0.500 Co
0.000 0.500 0.500 Zr
```

---

# 4
Compound: Ca2ZrCo2
Source: Alexandria via LeMat-Bulk
Functional: PBE
Structure: optimized geometry

Computed properties:
space-group type: No. 127
energy above the lowest structure with this stoichiometry: 0.000 eV per atom

Geometry as POSCAR:
```
Ca2ZrCo2
1.0
-2.957 -0.086 5.963
-3.059 -5.692 -1.599
3.634 -2.449 1.767
Ca Co Zr
4 4 2
Direct
0.173 0.673 0.500 Ca
0.673 0.827 0.500 Ca
0.827 0.327 0.500 Ca
0.327 0.173 0.500 Ca
0.381 0.881 0.000 Co
0.881 0.619 0.000 Co
0.619 0.119 0.000 Co
0.119 0.381 0.000 Co
0.000 0.000 0.000 Zr
0.500 0.500 0.000 Zr
```

---

# 5
Compound: CaZr4Co
Source: Alexandria via LeMat-Bulk
Functional: PBE
Structure: optimized geometry

Computed properties:
space-group type: No. 216

Geometry as POSCAR:
```
CaZr4Co
1.0
3.906 -3.428 -2.706
0.345 -5.689 1.360
-1.811 -4.044 -3.834
Ca Zr Co
1 4 1
Direct
0.750 0.750 0.750 Ca
0.878 0.374 0.374 Zr
0.374 0.374 0.878 Zr
0.374 0.878 0.374 Zr
0.374 0.374 0.374 Zr
0.000 0.000 0.000 Co
```

---

# 6
Compound: Ca2ZrCo
Source: Alexandria via LeMat-Bulk
Functional: PBE
Structure: optimized geometry

Computed properties:
space-group type: No. 8
energy above the lowest structure with this stoichiometry: 0.105 eV per atom

Geometry as POSCAR:
```
Ca2ZrCo
1.0
4.536 0.006 0.014
3.152 3.262 0.014
2.054 0.873 8.012
Ca Co Zr
2 1 1
Direct
0.007 0.007 0.920 Ca
0.166 0.166 0.330 Ca
0.516 0.516 0.625 Co
0.811 0.811 0.625 Zr
```

---

# 7
Compound: CaZrCo
Source: Alexandria via LeMat-Bulk
Functional: PBE
Structure: optimized geometry

Computed properties:
space-group type: No. 156
energy above the lowest structure with this stoichiometry: 0.136 eV per atom

Geometry as POSCAR:
```
CaZrCo
1.0
-2.439 1.880 1.908
-1.033 -1.843 -2.943
-1.149 -5.213 3.667
Ca Co Zr
1 1 1
Direct
0.000 0.000 0.068 Ca
0.667 0.333 0.366 Co
0.333 0.667 0.566 Zr
```

---

# 8
Compound: Ca2ZrCo
Source: Alexandria via LeMat-Bulk
Functional: PBE
Structure: optimized geometry

Computed properties:
space-group type: No. 166
energy above the lowest structure with this stoichiometry: 0.475 eV per atom

Geometry as POSCAR:
```
Ca2ZrCo
1.0
10.285 -0.006 -0.004
9.740 3.302 -0.004
9.740 1.603 2.887
Ca Co Zr
2 1 1
Direct
0.985 0.985 0.985 Ca
0.515 0.515 0.515 Ca
0.250 0.250 0.250 Co
0.750 0.750 0.750 Zr
```

---

| no. | V (Å³/cell) | total DFT energy (no corrections) (eV/f.u.) | energy of formation (eV per formula unit) |
| --- | --- | --- | --- |
| 1 | 120 | -24.58 | 10.17 |
| 2 | 88 | -39.32 | -0.35 |
| 3 | 90 | -17.63 | 2.03 |
| 4 | 209 | -26.02 | 0.75 |
| 5 | 142 | -39.45 | 3.85 |
| 6 | 118 | -19.03 | 0.63 |
| 7 | 74 | -17.10 | 0.55 |
| 8 | 98 | -17.55 | 2.11 |